Density functional theory data (PBE) for a relaxed structure of TaTl3C.

Cell: 5.5499 5.5499 5.5499 Å, 90.00 90.00 90.00°
Sites, in units of the cell vectors:
Tl 0.0000 0.5000 0.0000
Tl 0.5000 0.0000 0.0000
Tl 0.0000 0.0000 0.5000
C 0.5000 0.5000 0.5000
Ta 0.0000 0.0000 0.0000

Summary:
Excess energy over the best structure of this formula in the dataset ... 0.2755 eV per atom
Space group ... Pm-3m
Density of states at the Fermi level ... 0.818 states/eV per atom

=====

Density functional theory data (PBE) for a relaxed structure of Ta3TlC.

Cell: 5.0660 5.0660 5.0660 Å, 90.00 90.00 90.00°
Sites, in units of the cell vectors:
Ta 0.5000 0.0000 0.0000
Ta 0.0000 0.5000 0.0000
Tl 0.0000 0.0000 0.0000
C 0.5000 0.5000 0.5000
Ta 0.0000 0.0000 0.5000

Summary:
Excess energy over the best structure of this formula in the dataset ... 3.5462 eV per atom
Space group ... Pm-3m
Density of states at the Fermi level ... 0.585 states/eV per atom

=====

Density functional theory data (PBE) for a relaxed structure of TaTlC3.

Cell: 4.3006 4.3006 4.3006 Å, 90.00 90.00 90.00°
Sites, in units of the cell vectors:
C 0.5000 0.0000 0.0000
Tl 0.5000 0.5000 0.5000
C 0.0000 0.5000 0.0000
C 0.0000 0.0000 0.5000
Ta 0.0000 0.0000 0.0000

Summary:
Excess energy over the best structure of this formula in the dataset ... 0.0000 eV per atom
Space group ... Pm-3m
Density of states at the Fermi level ... 0.590 states/eV per atom

=====

Density functional theory data (PBE) for a relaxed structure of Y2TaTlC.

Cell: 4.9660 4.9660 4.3258 Å, 90.00 90.00 90.00°
Sites, in units of the cell vectors:
Tl 0.5000 0.5000 0.5000
Ta 0.0000 0.0000 0.5000
Y 0.5000 0.0000 0.0000
Y 0.0000 0.5000 0.0000
C 0.0000 0.0000 0.0000

Summary:
Space group ... P4/mmm
Density of states at the Fermi level ... 0.513 states/eV per atom

=====

Density functional theory data (PBE) for a relaxed structure of TmTaC.

Cell: 5.6842 5.6842 6.3135 Å, 63.25 63.25 60.00°
Sites, in units of the cell vectors:
Tm 0.2529 0.5691 0.2573
C 0.1503 0.1503 0.5491
C 0.6772 0.6772 0.9685
Tm 0.9207 0.2529 0.2573
Ta 0.0768 0.7449 0.7673
Ta 0.7449 0.4110 0.7673
Tm 0.5691 0.9207 0.2573
C 0.3459 0.3459 0.9622
Ta 0.4110 0.0768 0.7673

Summary:
Excess energy over the best structure of this formula in the dataset ... 0.0702 eV per atom
Space group ... R3
Density of states at the Fermi level ... 1.021 states/eV per atom

=====

Density functional theory data (PBE) for a relaxed structure of TmTaC2.

Cell: 3.2525 3.2525 6.0481 Å, 74.40 74.40 60.00°
Sites, in units of the cell vectors:
C 0.2615 0.2615 0.2155
Tm 0.4956 0.4956 0.5131
C 0.0733 0.0733 0.7801
Ta 0.6696 0.6696 0.9912

Summary:
Excess energy over the best structure of this formula in the dataset ... 0.2683 eV per atom
Space group ... R3m
Density of states at the Fermi level ... 0.344 states/eV per atom

=====

Short version: formation energy = 2.0046; 3.7095; 1.7249; -0.2520; -0.2380; -0.2988 eV per atom, in the order given.